Entry a
The following is a DFT calculation (PBE-GGA) of ScFeCuTe after structural relaxation.

```
ScFeCuTe
1.0
-3.5203 -2.5948 0.8888
-3.2002 -0.5449 -3.0623
-0.4591 -3.9250 -2.0735
Fe Sc Cu Te
1 1 1 1
direct
0.2500 0.2500 0.2500
0.0000 0.0000 0.0000
0.7500 0.7500 0.7500
0.5000 0.5000 0.5000
```

total magnetic moment	0.05	Bohr magnetons per cell
calculated density	7.71	g/cm³

---

Entry b
The following is a DFT calculation (PBE-GGA) of ScFeCuTe after structural relaxation.

```
ScFeCuTe
1.0
0.0000 3.2460 3.2460
3.2460 0.0000 3.2460
3.2460 3.2460 0.0000
Fe Cu Sc Te
1 1 1 1
direct
0.5000 0.5000 0.5000
0.7500 0.7500 0.7500
0.0000 0.0000 0.0000
0.2500 0.2500 0.2500
```

total magnetic moment	2.01	Bohr magnetons per cell
calculated density	7.09	g/cm³

---

Which of them is the most stable? Correct choice: entry a.